Entry 1:
First-principles (PBE-GGA) data for crystalline Tb4SbTe2P at its relaxed geometry, as listed in the Alexandria database.

Cell lengths 7.4406, 4.2578, 7.5334 Å; angles 90.00, 109.00, 90.00 degrees
With the nearest neighbours (Å) after each atom.
Sites, in units of the cell vectors:
1 Tb 0.2228 0.0000 0.2172  2 P 2.86, 1 Sb 3.02, 1 Te 3.10
2 Tb 0.2384 0.5000 0.7733  1 P 2.84, 2 Sb 3.01, 2 Te 3.09
3 Tb 0.7616 0.5000 0.2267  1 P 2.84, 2 Sb 3.01, 2 Te 3.09
4 Tb 0.7772 0.0000 0.7828  2 P 2.86, 1 Sb 3.02, 1 Te 3.10
5 Sb 0.5000 0.0000 0.0000  6 Tb 3.01-3.02
6 Te 0.0000 0.0000 0.5000  6 Tb 3.09-3.10
7 Te 0.5000 0.5000 0.5000  6 Tb 3.23-3.26
8 P 0.0000 0.5000 0.0000  6 Tb 2.84-2.86

## Properties
- SG: P2/m
- Formation energy without anion corrections: -1399 meV per atom
- E_tot: -5.691 eV/atom

---

Entry 2:
First-principles (PBE-GGA) data for crystalline TcSbP at its relaxed geometry, as listed in the Alexandria database.

Cell lengths 7.4909, 7.2340, 3.0287 Å; angles 82.93, 73.41, 23.66 degrees
With the nearest neighbours (Å) after each atom.
Sites, in units of the cell vectors:
1 Tc 0.0000 0.0000 0.0000  2 P 2.29
2 Sb 0.6664 0.6664 0.3336  2 Tc 2.86, 4 Sb 3.03
3 P 0.3865 0.3865 0.6135  2 Tc 2.29

## Properties
- SG: Fmm2
- Formation energy without anion corrections: 265 meV per atom
- E_tot: -6.368 eV/atom
- Energy relative to the lowest polymorph listed for this composition: 0.334 eV/atom